Model one:
Crystalline LiReNi at its relaxed geometry. Source: Alexandria via LeMat-Bulk, functional PBE-GGA.

a b c (Å): 2.660 2.660 6.685
angles (deg): 90.00 90.00 120.00
Sites, in units of the cell vectors:
Li 0.000 0.000 0.000
Re 0.333 0.667 0.634
Ni 0.667 0.333 0.326

Results
Size of the total moment   0.0000 μB/atom
V   41 Å³/f.u.
Symmetry   P3m1, No. 156

=====

Model two:
Crystalline LiReNi at its relaxed geometry. Source: Alexandria via LeMat-Bulk, functional PBE-GGA.

a b c (Å): 9.453 8.838 4.647
angles (deg): 82.76 68.05 29.19
Sites, in units of the cell vectors:
Li 0.048 0.048 0.202
Li 0.202 0.202 0.048
Li 0.798 0.798 0.952
Li 0.952 0.952 0.798
Re 0.207 0.543 0.207
Re 0.457 0.793 0.457
Re 0.543 0.207 0.543
Re 0.793 0.457 0.793
Ni 0.252 0.252 0.498
Ni 0.498 0.498 0.252
Ni 0.502 0.502 0.748
Ni 0.748 0.748 0.502

Results
Size of the total moment   0.0000 μB/atom
V   39 Å³/f.u.
Symmetry   Fddd, No. 70

=====

Model three:
Crystalline LiReNi at its relaxed geometry. Source: Alexandria via LeMat-Bulk, functional PBE-GGA.

a b c (Å): 3.956 3.956 3.956
angles (deg): 60.00 60.00 60.00
Sites, in units of the cell vectors:
Li 0.000 0.000 0.000
Re 0.250 0.250 0.250
Ni 0.500 0.500 0.500

Results
Size of the total moment   0.0000 μB/atom
V   44 Å³/f.u.
Symmetry   F-43m, No. 216

=====

In terms of stability, model two leads; the second structure lies 12.8 kJ/mol of atoms higher.

=====

Model one:
Crystalline LiReNi at its relaxed geometry. Source: Alexandria via LeMat-Bulk, functional PBE-GGA.

a b c (Å): 4.197 4.803 4.803
angles (deg): 51.23 90.00 90.00
Sites, in units of the cell vectors:
Li 0.000 0.000 0.000
Li 0.500 0.153 0.153
Re 0.500 0.480 0.480
Re 0.500 0.816 0.816
Ni 0.000 0.333 0.333
Ni 0.000 0.648 0.648

Results
Size of the total moment   0.0000 μB/atom
V   38 Å³/f.u.
Symmetry   Amm2, No. 38

=====

Model two:
Crystalline LiReNi at its relaxed geometry. Source: Alexandria via LeMat-Bulk, functional PBE-GGA.

a b c (Å): 4.439 4.439 5.260
angles (deg): 105.60 105.60 49.04
Sites, in units of the cell vectors:
Li 0.007 0.007 0.282
Li 0.993 0.993 0.718
Re 0.327 0.327 0.911
Re 0.673 0.673 0.089
Ni 0.323 0.323 0.415
Ni 0.677 0.677 0.585

Results
Size of the total moment   0.0000 μB/atom
V   37 Å³/f.u.
Symmetry   C2/m, No. 12

=====

Model three:
Crystalline LiReNi at its relaxed geometry. Source: Alexandria via LeMat-Bulk, functional PBE-GGA.

a b c (Å): 4.468 4.479 4.713
angles (deg): 101.96 102.15 117.27
Sites, in units of the cell vectors:
Li 0.000 0.000 0.000
Li 0.500 0.500 0.500
Re 0.167 0.833 0.500
Re 0.833 0.167 0.500
Ni 0.307 0.693 0.000
Ni 0.693 0.307 0.000

Results
Size of the total moment   0.0000 μB/atom
V   38 Å³/f.u.
Symmetry   P-1, No. 2

=====

Model four:
Crystalline LiReNi at its relaxed geometry. Source: Alexandria via LeMat-Bulk, functional PBE-GGA.

a b c (Å): 5.184 5.184 3.950
angles (deg): 90.00 90.00 134.25
Sites, in units of the cell vectors:
Li 0.250 0.750 0.750
Li 0.750 0.250 0.250
Re 0.074 0.926 0.250
Re 0.926 0.074 0.750
Ni 0.416 0.584 0.250
Ni 0.584 0.416 0.750

Results
Size of the total moment   0.0000 μB/atom
V   38 Å³/f.u.
Symmetry   Cmcm, No. 63

=====

In terms of stability, model two leads; the second structure lies 6.8 kJ/mol of atoms higher.

=====

Model one:
Crystalline LiReNi at its relaxed geometry. Source: Alexandria via LeMat-Bulk, functional PBE-GGA.

a b c (Å): 4.596 4.596 8.961
angles (deg): 90.00 90.00 120.00
Sites, in units of the cell vectors:
Li 0.333 0.667 0.250
Li 0.667 0.333 0.750
Re 0.000 0.000 0.250
Re 0.000 0.000 0.750
Ni 0.000 0.000 0.000
Ni 0.000 0.000 0.500

Results
Size of the total moment   1.0325 μB/atom
V   82 Å³/f.u.
Symmetry   P6_3/mmc, No. 194

=====

Model two:
Crystalline LiReNi at its relaxed geometry. Source: Alexandria via LeMat-Bulk, functional PBE-GGA.

a b c (Å): 4.129 4.129 4.953
angles (deg): 90.00 90.00 120.00
Sites, in units of the cell vectors:
Li 0.333 0.667 0.250
Li 0.667 0.333 0.750
Re 0.000 0.000 0.000
Re 0.000 0.000 0.500
Ni 0.333 0.667 0.750
Ni 0.667 0.333 0.250

Results
Size of the total moment   0.0000 μB/atom
V   37 Å³/f.u.
Symmetry   P6_3/mmc, No. 194

=====

In terms of stability, model two leads; the second structure lies 200.7 kJ/mol of atoms higher.

=====

Model one:
Crystalline LiReNi at its relaxed geometry. Source: Alexandria via LeMat-Bulk, functional PBE-GGA.

a b c (Å): 4.171 4.171 5.062
angles (deg): 90.00 90.00 120.00
Sites, in units of the cell vectors:
Li 0.000 0.000 0.000
Li 0.333 0.667 0.086
Re 0.333 0.667 0.583
Re 0.667 0.333 0.767
Ni 0.000 0.000 0.482
Ni 0.667 0.333 0.269

Results
Size of the total moment   0.0000 μB/atom
V   38 Å³/f.u.
Symmetry   P3m1, No. 156

=====

Model two:
Crystalline LiReNi at its relaxed geometry. Source: Alexandria via LeMat-Bulk, functional PBE-GGA.

a b c (Å): 4.177 4.177 5.041
angles (deg): 90.00 90.00 120.00
Sites, in units of the cell vectors:
Li 0.000 0.000 0.000
Li 0.000 0.000 0.500
Re 0.333 0.667 0.250
Re 0.667 0.333 0.750
Ni 0.333 0.667 0.750
Ni 0.667 0.333 0.250

Results
Size of the total moment   0.0000 μB/atom
V   38 Å³/f.u.
Symmetry   P6_3/mmc, No. 194

=====

In terms of stability, model one leads; the second structure lies 32.8 kJ/mol of atoms higher.

=====

Model one:
Crystalline LiReNi at its relaxed geometry. Source: Alexandria via LeMat-Bulk, functional PBE-GGA.

a b c (Å): 5.770 4.855 4.566
angles (deg): 75.46 54.55 49.99
Sites, in units of the cell vectors:
Li 0.152 0.152 0.848
Li 0.848 0.848 0.152
Re 0.336 0.664 0.336
Re 0.664 0.336 0.664
Ni 0.250 0.250 0.250
Ni 0.750 0.750 0.750

Results
Size of the total moment   0.0000 μB/atom
V   39 Å³/f.u.
Symmetry   Fmmm, No. 69

=====

Model two:
Crystalline LiReNi at its relaxed geometry. Source: Alexandria via LeMat-Bulk, functional PBE-GGA.

a b c (Å): 4.108 4.108 2.503
angles (deg): 90.00 90.00 120.00
Sites, in units of the cell vectors:
Li 0.000 0.000 0.000
Re 0.667 0.333 0.500
Ni 0.333 0.667 0.000

Results
Size of the total moment   0.0000 μB/atom
V   37 Å³/f.u.
Symmetry   P-6m2, No. 187

=====

In terms of stability, model one leads; the second structure lies 20.0 kJ/mol of atoms higher.

=====

Model one:
Crystalline LiReNi at its relaxed geometry. Source: Alexandria via LeMat-Bulk, functional PBE-GGA.

a b c (Å): 4.258 4.258 2.504
angles (deg): 90.00 90.00 120.00
Sites, in units of the cell vectors:
Li 0.000 0.000 0.000
Re 0.333 0.667 0.500
Ni 0.667 0.333 0.500

Results
Size of the total moment   0.0000 μB/atom
V   39 Å³/f.u.
Symmetry   P-6m2, No. 187

=====

Model two:
Crystalline LiReNi at its relaxed geometry. Source: Alexandria via LeMat-Bulk, functional PBE-GGA.

a b c (Å): 4.501 4.501 4.501
angles (deg): 147.33 129.76 61.23
Sites, in units of the cell vectors:
Li 0.000 0.000 0.000
Re 0.323 0.323 0.000
Ni 0.665 0.665 0.000

Results
Size of the total moment   0.0006 μB/atom
V   37 Å³/f.u.
Symmetry   Imm2, No. 44

=====

Model three:
Crystalline LiReNi at its relaxed geometry. Source: Alexandria via LeMat-Bulk, functional PBE-GGA.

a b c (Å): 3.648 3.648 6.493
angles (deg): 90.00 90.00 90.00
Sites, in units of the cell vectors:
Li 0.250 0.250 0.160
Li 0.750 0.750 0.840
Re 0.250 0.750 0.500
Re 0.750 0.250 0.500
Ni 0.250 0.250 0.776
Ni 0.750 0.750 0.224

Results
Size of the total moment   0.0000 μB/atom
V   43 Å³/f.u.
Symmetry   P4/nmm, No. 129

=====

Model four:
Crystalline LiReNi at its relaxed geometry. Source: Alexandria via LeMat-Bulk, functional PBE-GGA.

a b c (Å): 6.916 6.727 2.591
angles (deg): 83.20 74.96 21.84
Sites, in units of the cell vectors:
Li 0.000 0.000 0.000
Re 0.319 0.319 0.681
Ni 0.663 0.663 0.337

Results
Size of the total moment   0.0000 μB/atom
V   41 Å³/f.u.
Symmetry   Fmm2, No. 42

=====

In terms of stability, model four leads; the second structure lies 7.4 kJ/mol of atoms higher.

=====

Model one:
Crystalline LiReNi at its relaxed geometry. Source: Alexandria via LeMat-Bulk, functional PBE-GGA.

a b c (Å): 3.888 3.888 3.888
angles (deg): 60.00 60.00 60.00
Sites, in units of the cell vectors:
Li 0.000 0.000 0.000
Re 0.500 0.500 0.500
Ni 0.750 0.750 0.750

Results
Size of the total moment   0.0000 μB/atom
V   42 Å³/f.u.
Symmetry   F-43m, No. 216

=====

Model two:
Crystalline LiReNi at its relaxed geometry. Source: Alexandria via LeMat-Bulk, functional PBE-GGA.

a b c (Å): 6.933 3.611 7.087
angles (deg): 90.00 90.00 90.00
Sites, in units of the cell vectors:
Li 0.023 0.250 0.150
Li 0.477 0.750 0.650
Li 0.523 0.250 0.350
Li 0.977 0.750 0.850
Re 0.113 0.250 0.543
Re 0.387 0.750 0.043
Re 0.613 0.250 0.957
Re 0.887 0.750 0.457
Ni 0.234 0.750 0.340
Ni 0.266 0.250 0.840
Ni 0.734 0.750 0.160
Ni 0.766 0.250 0.660

Results
Size of the total moment   0.0000 μB/atom
V   44 Å³/f.u.
Symmetry   Pnma, No. 62

=====

Model three:
Crystalline LiReNi at its relaxed geometry. Source: Alexandria via LeMat-Bulk, functional PBE-GGA.

a b c (Å): 4.614 4.614 4.614
angles (deg): 122.35 118.08 89.67
Sites, in units of the cell vectors:
Li 0.500 0.000 0.000
Li 0.500 0.500 0.500
Re 0.121 0.371 0.750
Re 0.879 0.629 0.250
Ni 0.000 0.000 0.000
Ni 0.500 0.000 0.500

Results
Size of the total moment   0.0000 μB/atom
V   35 Å³/f.u.
Symmetry   Imma, No. 74

=====

In terms of stability, model three leads; the second structure lies 16.2 kJ/mol of atoms higher.

=====

Model one:
Crystalline LiReNi3 at its relaxed geometry. Source: Alexandria via LeMat-Bulk, functional PBE-GGA.

a b c (Å): 3.884 3.884 3.884
angles (deg): 90.00 90.00 90.00
Sites, in units of the cell vectors:
Li 0.000 0.000 0.000
Re 0.500 0.500 0.500
Ni 0.000 0.000 0.500
Ni 0.000 0.500 0.000
Ni 0.500 0.000 0.000

Results
Size of the total moment   0.7353 μB/atom
V   59 Å³/f.u.
Symmetry   Pm-3m, No. 221

=====

Model two:
Crystalline LiReNi3 at its relaxed geometry. Source: Alexandria via LeMat-Bulk, functional PBE-GGA.

a b c (Å): 4.539 4.539 4.539
angles (deg): 90.00 90.00 90.00
Sites, in units of the cell vectors:
Li 0.000 0.000 0.000
Re 0.500 0.500 0.500
Ni 0.000 0.500 0.500
Ni 0.500 0.000 0.500
Ni 0.500 0.500 0.000

Results
Size of the total moment   0.0000 μB/atom
V   94 Å³/f.u.
Symmetry   Pm-3m, No. 221

=====

Model three:
Crystalline LiReNi3 at its relaxed geometry. Source: Alexandria via LeMat-Bulk, functional PBE-GGA.

a b c (Å): 2.576 6.360 7.730
angles (deg): 74.47 89.97 89.96
Sites, in units of the cell vectors:
Li 0.249 0.342 0.440
Li 0.751 0.658 0.560
Re 0.249 0.156 0.065
Re 0.751 0.844 0.935
Ni 0.251 0.534 0.856
Ni 0.251 0.757 0.244
Ni 0.251 0.965 0.644
Ni 0.749 0.035 0.356
Ni 0.749 0.243 0.756
Ni 0.749 0.466 0.144

Results
Size of the total moment   0.0000 μB/atom
V   61 Å³/f.u.
Symmetry   P-1, No. 2

=====

In terms of stability, model three leads; the second structure lies 80.9 kJ/mol of atoms higher.